Zn4Te5: relaxed, GGA-PBE.

abc: 7.982 7.982 7.982
angles: 93.17 93.17 152.80
Sites, in units of the cell vectors:
Zn 0.000 0.359 0.359
Zn 0.000 0.641 0.641
Zn 0.359 0.000 0.359
Zn 0.641 0.000 0.641
Te 0.000 0.000 0.000
Te 0.325 0.325 0.650
Te 0.325 0.675 0.000
Te 0.675 0.325 0.000
Te 0.675 0.675 0.350

Output
Formation energy from raw total energies: 0.249 eV per atom
E above lowest polymorph: 0.160 eV/atom
Electronic total energy: -18.56 eV/cell
Symmetry: I4/mmm

---

Ho2ErRu: relaxed, GGA-PBE.

abc: 10.785 10.785 10.785
angles: 18.51 18.51 18.51
Sites, in units of the cell vectors:
Ho 0.107 0.107 0.107
Ho 0.893 0.893 0.893
Er 0.000 0.000 0.000
Ru 0.500 0.500 0.500

Output
E above lowest polymorph: 0.448 eV/atom
Electronic total energy: -22.59 eV/cell
Symmetry: R-3m

---

Rb2BaLiBr6: relaxed, GGA-PBE.

abc: 8.253 8.253 8.253
angles: 60.00 60.00 60.00
Sites, in units of the cell vectors:
Rb 0.250 0.250 0.250
Rb 0.750 0.750 0.750
Ba 0.000 0.000 0.000
Li 0.500 0.500 0.500
Br 0.270 0.270 0.730
Br 0.270 0.730 0.270
Br 0.270 0.730 0.730
Br 0.730 0.270 0.270
Br 0.730 0.270 0.730
Br 0.730 0.730 0.270

Output
Formation energy from raw total energies: -1.516 eV per atom
Electronic total energy: -30.97 eV/cell
Symmetry: Fm-3m

---

NbGaCu2As: relaxed, GGA-PBE.

abc: 4.362 4.362 4.943
angles: 90.00 90.00 90.00
Sites, in units of the cell vectors:
Nb 0.000 0.000 0.000
Ga 0.500 0.500 0.500
Cu 0.000 0.500 0.500
Cu 0.500 0.000 0.500
As 0.500 0.500 0.000

Output
Electronic total energy: -21.69 eV/cell
Symmetry: P4/mmm

---

InSiRu2: relaxed, GGA-PBE.

abc: 5.003 5.003 4.494
angles: 107.87 107.87 34.82
Sites, in units of the cell vectors:
In 0.000 0.000 0.000
Si 0.231 0.231 0.608
Ru 0.503 0.503 0.513
Ru 0.753 0.753 0.132

Output
Formation energy from raw total energies: -0.024 eV per atom
Electronic total energy: -26.81 eV/cell
Symmetry: Cm

---

TbNd2Er2Sc2: relaxed, GGA-PBE.

abc: 5.835 5.835 11.591
angles: 100.93 100.93 34.26
Sites, in units of the cell vectors:
Tb 0.000 0.000 0.000
Nd 0.405 0.405 0.730
Nd 0.595 0.595 0.270
Er 0.348 0.348 0.426
Er 0.652 0.652 0.574
Sc 0.295 0.295 0.123
Sc 0.705 0.705 0.877

Output
Electronic total energy: -34.75 eV/cell
Symmetry: C2/m

---

Copy entry 2 word for word.
Ho2ErRu: relaxed, GGA-PBE.

abc: 10.785 10.785 10.785
angles: 18.51 18.51 18.51
Sites, in units of the cell vectors:
Ho 0.107 0.107 0.107
Ho 0.893 0.893 0.893
Er 0.000 0.000 0.000
Ru 0.500 0.500 0.500

Output
E above lowest polymorph: 0.448 eV/atom
Electronic total energy: -22.59 eV/cell
Symmetry: R-3m

---

Question: What is the formula in the second record?
Answer: Ho2ErRu

---

Question: electronic total energy of number 4 (NbGaCu2As)?
Answer: -21.69 eV/cell